Record 1
The following is a DFT calculation (PBE-GGA) of a relaxed structure of Cr2GaMoOs.

Lattice parameters (Å, degrees): 4.633 4.633 4.723 90.00 90.00 90.00
Fractional positions:
Cr (0.000, 0.500, 0.000)
Cr (0.500, 0.000, 0.000)
Ga (0.000, 0.000, 0.500)
Mo (0.500, 0.500, 0.000)
Os (0.500, 0.500, 0.500)

Space group: P4/mmm, No. 123
DFT formation energy in eV per atom: 1.579
DOS(E_F) in states/eV per atom: 0.953


Record 2
The following is a DFT calculation (PBE-GGA) of a relaxed structure of CrGaMoOs.

Lattice parameters (Å, degrees): 4.319 4.319 4.319 60.00 60.00 60.00
Fractional positions:
Cr (0.000, 0.000, 0.000)
Ga (0.250, 0.250, 0.250)
Mo (0.750, 0.750, 0.750)
Os (0.500, 0.500, 0.500)

Space group: F-43m, No. 216
DFT formation energy in eV per atom: 0.057
DOS(E_F) in states/eV per atom: 1.032


Record 3
The following is a DFT calculation (PBE-GGA) of a relaxed structure of CrGaMoPt.

Lattice parameters (Å, degrees): 4.355 4.355 4.355 60.00 60.00 60.00
Fractional positions:
Cr (0.000, 0.000, 0.000)
Ga (0.500, 0.500, 0.500)
Mo (0.750, 0.750, 0.750)
Pt (0.250, 0.250, 0.250)

Space group: F-43m, No. 216
DFT formation energy in eV per atom: -0.133
DOS(E_F) in states/eV per atom: 1.159


Record 4
The following is a DFT calculation (PBE-GGA) of a relaxed structure of CrGaReMo.

Lattice parameters (Å, degrees): 4.354 4.354 4.354 60.00 60.00 60.00
Fractional positions:
Cr (0.000, 0.000, 0.000)
Ga (0.250, 0.250, 0.250)
Re (0.500, 0.500, 0.500)
Mo (0.750, 0.750, 0.750)

Space group: F-43m, No. 216
DFT formation energy in eV per atom: 0.081
DOS(E_F) in states/eV per atom: 0.674


Record 5
The following is a DFT calculation (PBE-GGA) of a relaxed structure of CrGaMo2S.

Lattice parameters (Å, degrees): 4.505 4.505 4.556 90.00 90.00 90.00
Fractional positions:
Cr (0.000, 0.000, 0.000)
Ga (0.000, 0.000, 0.500)
Mo (0.000, 0.500, 0.000)
Mo (0.500, 0.000, 0.000)
S (0.500, 0.500, 0.500)

Formation energy from raw total energies in meV/atom: 1140
Space group: P4/mmm, No. 123
DOS(E_F) in states/eV per atom: 1.217


Record 6
The following is a DFT calculation (PBE-GGA) of a relaxed structure of ScCr2GaMo.

Lattice parameters (Å, degrees): 4.336 4.336 4.875 90.00 90.00 90.00
Fractional positions:
Sc (0.000, 0.000, 0.000)
Cr (0.000, 0.500, 0.000)
Cr (0.500, 0.000, 0.000)
Ga (0.000, 0.000, 0.500)
Mo (0.500, 0.500, 0.500)

Space group: P4/mmm, No. 123
DFT formation energy in eV per atom: 1.699
DOS(E_F) in states/eV per atom: 0.884


Record 7
The following is a DFT calculation (PBE-GGA) of a relaxed structure of V2CrGaMo.

Lattice parameters (Å, degrees): 4.457 4.457 4.800 90.00 90.00 90.00
Fractional positions:
V (0.000, 0.500, 0.000)
V (0.500, 0.000, 0.000)
Cr (0.000, 0.000, 0.500)
Ga (0.500, 0.500, 0.500)
Mo (0.500, 0.500, 0.000)

Space group: P4/mmm, No. 123
DFT formation energy in eV per atom: 1.554
DOS(E_F) in states/eV per atom: 1.286


Record 8
The following is a DFT calculation (PBE-GGA) of a relaxed structure of VCrGaMo.

Lattice parameters (Å, degrees): 4.295 4.295 4.295 60.00 60.00 60.00
Fractional positions:
V (0.000, 0.000, 0.000)
Cr (0.500, 0.500, 0.500)
Ga (0.750, 0.750, 0.750)
Mo (0.250, 0.250, 0.250)

Space group: F-43m, No. 216
DFT formation energy in eV per atom: -0.017
DOS(E_F) in states/eV per atom: 0.886


Record 9
The following is a DFT calculation (PBE-GGA) of a relaxed structure of Y2CrGaMo.

Lattice parameters (Å, degrees): 5.307 5.307 4.657 90.00 90.00 90.00
Fractional positions:
Y (0.000, 0.500, 0.000)
Y (0.500, 0.000, 0.000)
Cr (0.000, 0.000, 0.500)
Ga (0.500, 0.500, 0.000)
Mo (0.500, 0.500, 0.500)

Space group: P4/mmm, No. 123
DFT formation energy in eV per atom: 1.252
DOS(E_F) in states/eV per atom: 2.788


Record 10
The following is a DFT calculation (PBE-GGA) of a relaxed structure of CrGa3N.

Lattice parameters (Å, degrees): 4.819 4.819 4.819 90.00 90.00 90.00
Fractional positions:
Cr (0.000, 0.000, 0.000)
Ga (0.000, 0.000, 0.500)
Ga (0.000, 0.500, 0.000)
Ga (0.500, 0.000, 0.000)
N (0.500, 0.500, 0.500)

Formation energy from raw total energies in meV/atom: 1267
ΔE to the lowest computed polymorph in eV per atom: 0.455
Space group: Pm-3m, No. 221
DOS(E_F) in states/eV per atom: 0.566


Record 11
The following is a DFT calculation (PBE-GGA) of a relaxed structure of CrGa3N.

Lattice parameters (Å, degrees): 4.138 4.138 4.138 90.00 90.00 90.00
Fractional positions:
Cr (0.000, 0.000, 0.000)
Ga (0.000, 0.500, 0.500)
Ga (0.500, 0.000, 0.500)
Ga (0.500, 0.500, 0.000)
N (0.500, 0.500, 0.500)

Formation energy from raw total energies in meV/atom: 812
ΔE to the lowest computed polymorph in eV per atom: 0.000
Space group: Pm-3m, No. 221
DOS(E_F) in states/eV per atom: 0.568


Record 12
The following is a DFT calculation (PBE-GGA) of a relaxed structure of CrGaN2.

Lattice parameters (Å, degrees): 6.417 6.417 6.417 25.24 25.24 25.24
Fractional positions:
Cr (0.000, 0.000, 0.000)
Ga (0.500, 0.500, 0.500)
N (0.393, 0.393, 0.393)
N (0.607, 0.607, 0.607)

Formation energy from raw total energies in meV/atom: -46
Space group: R-3m, No. 166
DOS(E_F) in states/eV per atom: 0.335